The following is a PBE calculation of crystalline Th8AuC4 at its relaxed geometry, from the Alexandria database.

a b c (Å): 11.1256 11.1256 11.1256
angles (deg): 90.00 90.00 90.00
Last column: nearest neighbours and their distance in Å.
Space group F-43m (No. 216)
Unique sites:
1 Th 0.1056 0.1056 0.3944 (multiplicity 16)  3 C 2.65, 1 Au 2.78
2 Th 0.1379 0.1379 0.8621 (multiplicity 16)  3 C 2.59
3 Au 0.2500 0.2500 0.2500 (multiplicity 4)  4 Th 2.78
4 C 0.1297 0.1297 0.6297 (multiplicity 16)  6 Th 2.59-2.65

Calculated values
Magnetic moment ... 0.0 μB/cell
Raw total energy ... -7.7310 eV per atom
Density of states at the Fermi level ... 10.70 states/eV/f.u.
Formation energy from the elements ... -0.075 eV/atom